Entry 1:
First-principles (PBE) data for crystalline ScTl2Cu at its relaxed geometry, as listed in the Alexandria database.

Values from the calculation:
formation enthalpy at 0 K = 0.00 eV/atom

```
ScTl2Cu
1.0
3.372 0.000 0.000
0.000 3.372 0.000
0.000 0.000 8.096
Sc Tl Cu
1 2 1
Cartesian
0.000 0.000 0.000
0.000 0.000 4.851
1.686 1.686 2.254
1.686 1.686 6.709
```

Entry 2:
First-principles (PBE) data for crystalline Ac3Sb5S12 at its relaxed geometry, as listed in the Alexandria database.

```
Ac3Sb5S12
1.0
-8.333 8.333 8.333
8.333 -8.333 8.333
8.333 8.333 -8.333
Ac Sb S
12 20 48
Cartesian
4.167 2.083 0.000
8.333 4.167 -2.083
2.083 0.000 4.167
10.417 0.000 4.167
0.000 4.167 2.083
4.167 -2.083 8.333
4.167 10.417 0.000
8.333 4.167 6.250
-2.083 8.333 4.167
6.250 8.333 4.167
0.000 4.167 10.417
4.167 6.250 8.333
0.000 0.000 0.000
4.167 4.167 -4.167
4.167 -4.167 4.167
8.333 0.000 0.000
12.500 2.083 0.000
8.333 -4.167 6.250
6.250 8.333 -4.167
6.250 0.000 4.167
4.167 6.250 0.000
8.333 4.167 2.083
-4.167 4.167 4.167
0.000 8.333 0.000
0.000 0.000 8.333
4.167 4.167 4.167
0.000 4.167 6.250
4.167 2.083 8.333
2.083 8.333 4.167
2.083 0.000 12.500
0.000 12.500 2.083
-4.167 6.250 8.333
2.515 -0.346 1.053
9.985 5.220 -4.512
10.849 0.346 1.053
9.985 -3.114 4.512
7.988 -1.053 2.515
12.846 -1.651 3.114
1.053 2.515 -0.346
11.447 3.821 -1.651
5.220 4.512 -1.651
7.281 2.515 0.346
-0.346 1.053 2.515
4.512 -1.651 5.220
7.988 7.281 -2.515
4.512 1.651 3.114
5.220 -4.512 9.985
7.281 -2.515 7.988
3.114 4.512 1.651
9.386 5.818 0.346
4.512 9.985 -3.114
7.988 1.053 5.818
2.515 7.988 -1.053
9.985 3.114 3.821
1.651 3.114 4.512
2.515 0.346 7.281
5.818 7.988 1.053
6.682 5.220 3.821
-1.651 5.220 4.512
5.818 0.346 9.386
0.346 7.281 2.515
3.821 -1.651 11.447
-1.053 2.515 7.988
5.220 3.821 6.682
1.053 10.849 0.346
3.114 12.846 -1.651
3.821 6.682 5.220
0.346 1.053 10.849
3.821 9.985 3.114
8.679 7.281 5.818
1.053 5.818 7.988
3.114 3.821 9.985
-3.114 4.512 9.985
7.281 5.818 8.679
-4.512 9.985 5.220
0.346 9.386 5.818
-1.651 11.447 3.821
-2.515 7.988 7.281
-1.651 3.114 12.846
5.818 8.679 7.281
```

Entry 3:
First-principles (PBE) data for crystalline Ac2SmSb at its relaxed geometry, as listed in the Alexandria database.

```
Ac2SmSb
1.0
5.195 0.000 0.000
0.000 5.195 0.000
0.000 0.000 5.073
Ac Sm Sb
2 1 1
Cartesian
0.000 2.597 0.000
2.597 0.000 0.000
0.000 0.000 2.537
2.597 2.597 2.537
```

Entry 4:
First-principles (PBE) data for crystalline AcCd2Ag10 at its relaxed geometry, as listed in the Alexandria database.

Values from the calculation:
formation enthalpy at 0 K = -0.08 eV/atom

```
AcCd2Ag10
1.0
0.000 6.738 7.086
2.804 0.000 7.086
2.804 6.738 0.000
Ac Cd Ag
1 2 10
Cartesian
0.000 0.000 0.000
1.402 0.000 3.543
1.402 6.738 3.543
1.402 3.369 0.000
2.804 2.429 4.625
2.804 5.260 5.551
2.804 2.429 9.547
2.804 5.260 8.622
1.402 3.369 7.086
2.804 8.216 5.551
2.804 11.047 4.625
2.804 8.216 8.622
2.804 11.047 9.547
```

Entry 5:
First-principles (PBE) data for crystalline Rb2MgZr2Se6 at its relaxed geometry, as listed in the Alexandria database.

```
Rb2MgZr2Se6
1.0
3.414 -5.925 0.000
3.414 5.925 0.000
-2.249 0.000 8.198
Rb Mg Zr Se
2 1 2 6
Cartesian
3.414 3.971 0.000
3.414 -3.971 0.000
-1.124 0.000 4.099
2.290 1.978 4.099
2.290 -1.978 4.099
0.039 2.006 5.627
1.210 0.000 2.569
0.039 -2.006 5.627
4.541 2.006 2.571
3.369 0.000 5.629
4.541 -2.006 2.571
```

Entry 6:
First-principles (PBE) data for crystalline KMgAsSe2 at its relaxed geometry, as listed in the Alexandria database.

```
KMgAsSe2
1.0
5.575 0.000 0.000
0.000 5.575 0.000
0.000 0.000 5.383
K Mg As Se
1 1 1 2
Cartesian
0.000 0.000 0.000
2.787 2.787 2.692
0.000 0.000 2.692
0.000 2.787 0.000
2.787 0.000 0.000
```

Entry 7:
First-principles (PBE) data for crystalline TaSbIr2 at its relaxed geometry, as listed in the Alexandria database.

```
TaSbIr2
1.0
1.543 0.891 8.623
-1.543 0.891 8.623
0.000 -1.782 8.623
Ta Sb Ir
1 1 2
Cartesian
0.000 0.000 0.000
0.000 0.000 12.934
0.000 0.000 6.595
0.000 0.000 19.273
```

Entry 8:
First-principles (PBE) data for crystalline CaMg2CI at its relaxed geometry, as listed in the Alexandria database.

```
CaMg2CI
1.0
6.280 0.000 0.000
0.000 6.280 0.000
0.000 0.000 4.299
Ca Mg C I
1 2 1 1
Cartesian
0.000 0.000 0.000
0.000 3.140 0.000
3.140 0.000 0.000
0.000 0.000 2.149
3.140 3.140 2.149
```

Entry 9:
First-principles (PBE) data for crystalline FeHgPd2N at its relaxed geometry, as listed in the Alexandria database.

```
FeHgPd2N
1.0
4.388 0.000 0.000
0.000 4.388 0.000
0.000 0.000 3.713
Fe Hg Pd N
1 1 2 1
Cartesian
0.000 0.000 0.000
2.194 2.194 0.000
0.000 2.194 1.856
2.194 0.000 1.856
0.000 0.000 1.856
```

Entry 10:
First-principles (PBE) data for crystalline MnRe3Cl at its relaxed geometry, as listed in the Alexandria database.

```
MnRe3Cl
1.0
4.521 0.000 0.000
0.000 4.521 0.000
0.000 0.000 4.521
Mn Re Cl
1 3 1
Cartesian
0.000 0.000 0.000
0.000 0.000 2.261
0.000 2.261 0.000
2.261 0.000 0.000
2.261 2.261 2.261
```

Entry 11:
First-principles (PBE) data for crystalline Cr2NiSnH at its relaxed geometry, as listed in the Alexandria database.

```
Cr2NiSnH
1.0
3.885 0.000 0.000
0.000 3.885 0.000
0.000 0.000 3.877
Cr Ni Sn H
2 1 1 1
Cartesian
0.000 1.943 0.000
1.943 0.000 0.000
0.000 0.000 1.939
1.943 1.943 1.939
0.000 0.000 0.000
```

Entry 12:
First-principles (PBE) data for crystalline Ac2TeS at its relaxed geometry, as listed in the Alexandria database.

```
Ac2TeS
1.0
2.235 1.290 7.573
-2.235 1.290 7.573
0.000 -2.580 7.573
Ac Te S
2 1 1
Cartesian
0.000 0.000 5.395
0.000 0.000 17.324
0.000 0.000 0.000
0.000 0.000 11.360
```

Entry 13:
First-principles (PBE) data for crystalline In3TeC at its relaxed geometry, as listed in the Alexandria database.

```
In3TeC
1.0
4.930 0.000 0.000
0.000 4.930 0.000
0.000 0.000 4.930
In Te C
3 1 1
Cartesian
0.000 0.000 2.465
0.000 2.465 0.000
2.465 0.000 0.000
2.465 2.465 2.465
0.000 0.000 0.000
```

Entry 14:
First-principles (PBE) data for crystalline Os2PtSe at its relaxed geometry, as listed in the Alexandria database.

```
Os2PtSe
1.0
1.425 0.823 8.795
-1.425 0.823 8.795
0.000 -1.646 8.795
Os Pt Se
2 1 1
Cartesian
0.000 0.000 0.000
0.000 0.000 6.712
0.000 0.000 13.237
0.000 0.000 19.615
```

Entry 15:
First-principles (PBE) data for crystalline BaScI3 at its relaxed geometry, as listed in the Alexandria database.

```
BaScI3
1.0
5.761 0.000 0.000
0.000 5.761 0.000
0.000 0.000 5.761
Ba Sc I
1 1 3
Cartesian
0.000 0.000 0.000
2.880 2.880 2.880
0.000 2.880 2.880
2.880 0.000 2.880
2.880 2.880 0.000
```

Entry 16:
First-principles (PBE) data for crystalline Rb5Sb2Au at its relaxed geometry, as listed in the Alexandria database.

```
Rb5Sb2Au
1.0
3.132 1.808 9.965
-3.132 1.808 9.965
0.000 -3.616 9.965
Rb Sb Au
5 2 1
Cartesian
0.000 0.000 0.000
0.000 0.000 4.005
0.000 0.000 8.462
0.000 0.000 21.434
0.000 0.000 25.891
0.000 0.000 12.258
0.000 0.000 17.638
0.000 0.000 14.948
```

Entry 17:
First-principles (PBE) data for crystalline HfCdIrRu at its relaxed geometry, as listed in the Alexandria database.

Values from the calculation:
formation enthalpy at 0 K = -0.36 eV/atom

```
HfCdIrRu
1.0
0.000 3.236 3.236
3.236 0.000 3.236
3.236 3.236 0.000
Hf Cd Ir Ru
1 1 1 1
Cartesian
0.000 0.000 0.000
3.236 3.236 3.236
4.854 4.854 4.854
1.618 1.618 1.618
```

Entry 18:
First-principles (PBE) data for crystalline NaCrC3 at its relaxed geometry, as listed in the Alexandria database.

Values from the calculation:
formation enthalpy at 0 K = 3.95 eV/atom

```
NaCrC3
1.0
3.979 0.000 0.000
0.000 3.979 0.000
0.000 0.000 3.979
Na Cr C
1 1 3
Cartesian
0.000 0.000 0.000
1.990 1.990 1.990
0.000 0.000 1.990
0.000 1.990 0.000
1.990 0.000 0.000
```

Entry 19:
First-principles (PBE) data for crystalline Pa2Sb3Pd8 at its relaxed geometry, as listed in the Alexandria database.

```
Pa2Sb3Pd8
1.0
2.693 1.555 10.592
-2.693 1.555 10.592
0.000 -3.110 10.592
Pa Sb Pd
2 3 8
Cartesian
0.000 0.000 4.134
0.000 0.000 27.641
0.000 0.000 9.707
0.000 0.000 15.888
0.000 0.000 22.068
0.000 0.000 6.914
0.000 -1.536 12.488
-1.330 0.768 12.488
-1.330 -0.768 19.288
1.330 0.768 12.488
1.330 -0.768 19.288
0.000 1.536 19.288
0.000 0.000 24.862
```

Entry 20:
First-principles (PBE) data for crystalline Y2MgPtO at its relaxed geometry, as listed in the Alexandria database.

```
Y2MgPtO
1.0
4.767 0.000 0.000
0.000 4.767 0.000
0.000 0.000 4.086
Y Mg Pt O
2 1 1 1
Cartesian
0.000 2.384 0.000
2.384 0.000 0.000
0.000 0.000 2.043
2.384 2.384 2.043
0.000 0.000 0.000
```

Entry 21:
First-principles (PBE) data for crystalline SnGePt at its relaxed geometry, as listed in the Alexandria database.

Values from the calculation:
formation enthalpy at 0 K = -0.26 eV/atom

```
SnGePt
1.0
3.626 0.000 0.000
-1.813 3.140 0.000
0.000 0.000 5.599
Sn Ge Pt
1 1 1
Cartesian
0.000 0.000 0.000
1.813 1.047 2.345
0.000 2.093 3.758
```

Entry 22:
First-principles (PBE) data for crystalline Pm6SmDy2Sc at its relaxed geometry, as listed in the Alexandria database.

Values from the calculation:
formation enthalpy at 0 K = 0.13 eV/atom

```
Pm6SmDy2Sc
1.0
4.625 -7.620 0.000
4.625 7.620 0.000
-1.020 0.000 9.374
Pm Sm Dy Sc
12 2 4 2
Cartesian
1.240 3.310 7.548
3.546 4.884 5.178
4.174 4.884 8.883
3.314 1.697 3.630
1.750 -3.310 2.861
5.427 1.697 1.057
2.804 -1.697 8.317
6.480 3.310 6.513
4.917 -1.697 5.744
4.056 -4.884 0.491
4.685 -4.884 4.196
6.991 -3.310 1.826
4.370 7.236 2.343
3.860 -7.236 7.030
2.320 0.768 0.453
1.810 -0.768 5.140
6.420 0.768 4.234
5.910 -0.768 8.921
3.860 1.221 7.030
4.370 -1.221 2.343
```

no.,raw total energy (eV/atom),density (Mg/m³)
1,-3.79,9.33
2,-5.01,4.80
3,-4.72,8.81
4,-2.73,9.49
5,-5.12,4.26
6,-1.96,2.94
7,-8.44,16.04
8,-1.98,2.23
9,-5.40,11.23
10,-7.63,11.66
11,-6.37,8.01
12,-5.62,7.78
13,-3.54,6.71
14,-7.65,17.56
15,-3.58,4.89
16,-2.49,4.26
17,-7.61,14.31
18,-3.77,2.93
19,-5.95,10.47
20,-6.68,7.39
21,-5.15,10.07
22,-4.75,6.99